A plane-wave DFT calculation with PBE was carried out for a relaxed Th4NiIr3 crystal.

Results
ΔH_f (0 K) in eV/atom: -0.829
Space-group type: Cmmm, No. 65

Unit cell a=8.2295 b=11.6390 c=4.1131 alpha=90.00 beta=90.00 gamma=90.00
Fractional coordinates of all 16 atoms:
Th (0.0000, 0.2494, 0.0000)
Th (0.0000, 0.7506, 0.0000)
Th (0.2488, 0.0000, 0.5000)
Th (0.2512, 0.5000, 0.5000)
Th (0.5000, 0.2506, 0.0000)
Th (0.5000, 0.7494, 0.0000)
Th (0.7488, 0.5000, 0.5000)
Th (0.7512, 0.0000, 0.5000)
Ni (0.0000, 0.5000, 0.0000)
Ni (0.5000, 0.0000, 0.0000)
Ir (0.0000, 0.0000, 0.0000)
Ir (0.2500, 0.2500, 0.5000)
Ir (0.2500, 0.7500, 0.5000)
Ir (0.5000, 0.5000, 0.0000)
Ir (0.7500, 0.2500, 0.5000)
Ir (0.7500, 0.7500, 0.5000)